Entry from Alexandria via LeMat-Bulk: a geometry-optimized Li8Sb3 structure (GGA-PBE).

POSCAR file:
```
Li8Sb3
1.0
4.717 2.723 3.889
-4.717 2.723 3.889
0.000 -5.446 3.889
Li Sb
8 3
Direct
0.218 0.218 0.218
0.219 0.219 0.777
0.219 0.777 0.219
0.223 0.781 0.781
0.777 0.219 0.219
0.781 0.223 0.781
0.781 0.781 0.223
0.782 0.782 0.782
0.000 0.000 0.500
0.000 0.500 0.000
0.500 0.000 0.000
```

Formation energy from raw total energies ... -0.411 eV per atom
E ... -32.20 eV per formula unit
SG ... R-3m
Fermi-level density of states ... 10.566 states/eV/f.u.